1.
First-principles (GGA-PBE) data for crystalline NaTiO3 at its relaxed geometry, as listed in the Alexandria database.

a b c (Å): 3.0598 6.2263 6.4391
angles (deg): 80.02 81.78 76.14
Space group P1 (No. 1)
One atom of each set of equivalent atoms:
Na  0.0000  0.0000  0.0000 [1 per cell]
Na  0.4937  0.4060  0.3073 [1 per cell]
Ti  0.3578  0.4268  0.7742 [1 per cell]
Ti  0.6749  0.8664  0.5624 [1 per cell]
O  0.1633  0.0549  0.3796 [1 per cell]
O  0.1878  0.7771  0.7441 [1 per cell]
O  0.4689  0.8665  0.2811 [1 per cell]
O  0.5240  0.1445  0.7117 [1 per cell]
O  0.8205  0.4011  0.9657 [1 per cell]
O  0.8796  0.5347  0.5523 [1 per cell]

## Properties
N(E_F): 0.0 states/eV/cell
raw formation energy: -2302.0 meV/atom

---

2.
First-principles (GGA-PBE) data for crystalline La2ZrNi at its relaxed geometry, as listed in the Alexandria database.

a b c (Å): 3.6449 5.5075 10.1437
angles (deg): 90.00 90.00 90.00
Space group Immm (No. 71)
One atom of each set of equivalent atoms:
La  0.0000  0.0000  0.2057 [4 per cell]
Zr  0.0000  0.5000  0.0000 [2 per cell]
Ni  0.0000  0.5000  0.5000 [2 per cell]

## Properties
N(E_F): 11.7 states/eV/cell
formation energy: 0.115 eV per atom
offset from the most stable computed form: 0.1975 eV/atom

---

3.
First-principles (GGA-PBE) data for crystalline Ho2ZnRh at its relaxed geometry, as listed in the Alexandria database.

a b c (Å): 5.6237 4.4529 7.4901
angles (deg): 90.00 110.51 90.00
Space group P2_1/m (No. 11)
One atom of each set of equivalent atoms:
Ho  0.2087  0.2500  0.4339 [2 per cell]
Ho  0.2292  0.2500  0.9245 [2 per cell]
Zn  0.3429  0.7500  0.2138 [2 per cell]
Rh  0.3509  0.7500  0.7140 [2 per cell]

## Properties
N(E_F): 4.9 states/eV/cell
formation energy: -0.642 eV per atom

---

4.
First-principles (GGA-PBE) data for crystalline CuHRu2W at its relaxed geometry, as listed in the Alexandria database.

a b c (Å): 4.0192 4.0192 3.6039
angles (deg): 90.00 90.00 90.00
Space group P4/mmm (No. 123)
One atom of each set of equivalent atoms:
Cu  0.0000  0.0000  0.0000 [1 per cell]
H  0.0000  0.0000  0.5000 [1 per cell]
Ru  0.0000  0.5000  0.5000 [2 per cell]
W  0.5000  0.5000  0.0000 [1 per cell]

## Properties
N(E_F): 2.2 states/eV/cell
VASP energy: -38.145 eV/f.u.

---

no.,volume (Å³ per cell)
1,116.64
2,203.63
3,175.67
4,58.22